Computed, not measured: crystalline Sm6Dy3Er at its relaxed geometry at the PBE level of DFT.

Cell lengths 6.4012, 11.6752, 11.6752 Å; angles 130.63, 90.00, 90.00 degrees
With the nearest neighbours (Å) after each atom.
Fractional positions:
Sm: 0.0680 0.7415 0.6206  3 Dy 3.38-3.56, 4 Sm 3.53-3.73, 1 Er 3.76
Sm: 0.5680 0.6206 0.7415  3 Dy 3.38-3.56, 4 Sm 3.53-3.73, 1 Er 3.76
Sm: 0.3242 0.4560 0.8943  2 Dy 3.29-3.45, 3 Sm 3.42-3.61, 2 Er 3.63-3.67
Sm: 0.8242 0.8943 0.4560  2 Dy 3.29-3.45, 3 Sm 3.42-3.61, 2 Er 3.63-3.67
Sm: 0.3201 0.9841 0.0159  4 Sm 3.27-3.62, 1 Er 3.29, 4 Dy 3.55-3.60
Sm: 0.7942 0.3006 0.6994  1 Dy 3.16, 1 Er 3.32, 2 Sm 3.49
Sm: 0.2942 0.6994 0.3006  1 Dy 3.16, 1 Er 3.32, 2 Sm 3.49
Sm: 0.8201 0.0159 0.9841  4 Sm 3.27-3.62, 1 Er 3.29, 4 Dy 3.55-3.60
Sm: 0.3242 0.1057 0.5440  2 Dy 3.29-3.45, 3 Sm 3.42-3.61, 2 Er 3.63-3.67
Sm: 0.8242 0.5440 0.1057  2 Dy 3.29-3.45, 3 Sm 3.42-3.61, 2 Er 3.63-3.67
Sm: 0.0680 0.3794 0.2585  3 Dy 3.38-3.56, 4 Sm 3.53-3.73, 1 Er 3.76
Sm: 0.5680 0.2585 0.3794  3 Dy 3.38-3.56, 4 Sm 3.53-3.73, 1 Er 3.76
Dy: 0.4904 0.9583 0.7061  2 Dy 3.27-3.44, 5 Sm 3.29-3.60, 1 Er 3.52
Dy: 0.9904 0.7061 0.9583  2 Dy 3.27-3.44, 5 Sm 3.29-3.60, 1 Er 3.52
Dy: 0.0891 0.4200 0.5800  3 Sm 3.16-3.47, 2 Dy 3.44
Dy: 0.5891 0.5800 0.4200  3 Sm 3.16-3.47, 2 Dy 3.44
Dy: 0.9904 0.0417 0.2939  2 Dy 3.27-3.44, 5 Sm 3.29-3.60, 1 Er 3.52
Dy: 0.4904 0.2939 0.0417  2 Dy 3.27-3.44, 5 Sm 3.29-3.60, 1 Er 3.52
Er: 0.0166 0.1590 0.8410  6 Sm 3.29-3.67, 2 Dy 3.52
Er: 0.5166 0.8410 0.1590  6 Sm 3.29-3.67, 2 Dy 3.52

Computed properties:
Its energy relative to the lowest polymorph listed for this composition is 0 meV/atom. The crystal system is orthorhombic. Its energy of formation from the pure elements is 0.125 eV/atom. The volume is 662.2 Å³ per cell. Its space group is Cmc2_1 (36).


Computed, not measured: crystalline Sm2Dy2Er7 at its relaxed geometry at the PBE level of DFT.

Cell lengths 6.0113, 7.9959, 7.9959 Å; angles 92.01, 73.92, 73.92 degrees
With the nearest neighbours (Å) after each atom.
Fractional positions:
Sm: 0.5000 0.2129 0.7871  6 Er 3.25-3.46
Sm: 0.5000 0.7871 0.2129  6 Er 3.25-3.46
Dy: 0.8076 0.4064 0.4064  7 Er 3.40-3.73, 2 Dy 3.44-3.68, 2 Sm 3.73
Dy: 0.1924 0.5936 0.5936  7 Er 3.40-3.73, 2 Dy 3.44-3.68, 2 Sm 3.73
Er: 0.1748 0.0637 0.5900  5 Er 3.21-3.57, 2 Sm 3.25-3.42
Er: 0.8252 0.4100 0.9363  5 Er 3.21-3.57, 2 Sm 3.25-3.42
Er: 0.8252 0.9363 0.4100  5 Er 3.21-3.57, 2 Sm 3.25-3.42
Er: 0.1748 0.5900 0.0637  5 Er 3.21-3.57, 2 Sm 3.25-3.42
Er: 0.0000 0.0000 0.0000  6 Er 3.26-3.42
Er: 0.5814 0.7662 0.7662  5 Er 3.34-3.54, 3 Dy 3.40-3.67, 2 Sm 3.46
Er: 0.4186 0.2338 0.2338  5 Er 3.34-3.54, 3 Dy 3.40-3.67, 2 Sm 3.46

Computed properties:
Its energy relative to the lowest polymorph listed for this composition is 3 meV/atom. The crystal system is monoclinic. Its energy of formation from the pure elements is 0.160 eV/atom. The volume is 352.2 Å³ per cell. Its space group is C2/m (12).


Computed, not measured: crystalline SmDy2Er9 at its relaxed geometry at the PBE level of DFT.

Cell lengths 3.4860, 11.1289, 11.1289 Å; angles 120.00, 90.00, 90.00 degrees
With the nearest neighbours (Å) after each atom.
Fractional positions:
Sm: 0.0000 0.0000 0.0000  2 Sm 3.49, 12 Er 3.84
Dy: 0.0000 0.3333 0.6667  9 Er 3.21-3.47, 2 Dy 3.49
Dy: 0.0000 0.6667 0.3333  9 Er 3.21-3.47, 2 Dy 3.49
Er: 0.0000 0.0000 0.5000  2 Dy 3.21, 10 Er 3.49-3.57
Er: 0.0000 0.5000 0.5000  2 Dy 3.21, 10 Er 3.49-3.57
Er: 0.0000 0.5000 0.0000  2 Dy 3.21, 10 Er 3.49-3.57
Er: 0.5000 0.3554 0.1777  8 Er 3.42-3.57, 2 Dy 3.47
Er: 0.5000 0.1777 0.8223  8 Er 3.42-3.57, 2 Dy 3.47
Er: 0.5000 0.1777 0.3554  8 Er 3.43-3.57, 2 Dy 3.47
Er: 0.5000 0.8223 0.6446  8 Er 3.43-3.57, 2 Dy 3.47
Er: 0.5000 0.8223 0.1777  8 Er 3.42-3.57, 2 Dy 3.47
Er: 0.5000 0.6446 0.8223  8 Er 3.42-3.57, 2 Dy 3.47

Computed properties:
Its energy relative to the lowest polymorph listed for this composition is 24 meV/atom. The crystal system is hexagonal. Its energy of formation from the pure elements is 0.047 eV/atom. The volume is 373.9 Å³ per cell. Its space group is P6/mmm (191).


Computed, not measured: crystalline Sm2Dy7Er at its relaxed geometry at the PBE level of DFT.

Cell lengths 3.5038, 14.7283, 14.7284 Å; angles 154.58, 90.00, 90.00 degrees
With the nearest neighbours (Å) after each atom.
Fractional positions:
Sm: 0.5000 0.7077 0.2923  2 Sm 3.50, 8 Dy 3.54-3.74
Sm: 0.5000 0.2923 0.7077  2 Sm 3.50, 8 Dy 3.54-3.74
Dy: 0.0000 0.8146 0.1854  6 Dy 3.45-3.50, 6 Sm 3.54-3.74
Dy: 0.0000 0.1854 0.8146  6 Dy 3.45-3.50, 6 Sm 3.54-3.74
Dy: 0.5000 0.1481 0.3440  7 Dy 3.19-3.50, 1 Sm 3.56
Dy: 0.5000 0.8519 0.6560  7 Dy 3.19-3.50, 1 Sm 3.56
Dy: 0.5000 0.3440 0.1481  7 Dy 3.19-3.50, 1 Sm 3.56
Dy: 0.5000 0.6560 0.8519  7 Dy 3.19-3.50, 1 Sm 3.56
Dy: 0.5000 0.5000 0.5000  6 Dy 3.26-3.50
Er: 0.0000 0.0000 0.0000  2 Er 3.50, 12 Dy 3.68

Computed properties:
Its energy relative to the lowest polymorph listed for this composition is 140 meV/atom. The crystal system is orthorhombic. Its energy of formation from the pure elements is 0.159 eV/atom. The volume is 326.3 Å³ per cell. Its space group is Cmmm (65).


Computed, not measured: crystalline SmDy2Er9 at its relaxed geometry at the PBE level of DFT.

Cell lengths 4.9809, 4.9809, 14.9361 Å; angles 90.00, 90.00, 90.00 degrees
With the nearest neighbours (Å) after each atom.
Fractional positions:
Sm: 0.0000 0.0000 0.0000  12 Er 3.52-3.53
Dy: 0.0000 0.0000 0.3338  12 Er 3.51-3.52
Dy: 0.0000 0.0000 0.6662  12 Er 3.51-3.52
Er: 0.5000 0.5000 0.0000  4 Sm 3.52, 8 Er 3.53
Er: 0.5000 0.5000 0.3342  8 Er 3.51-3.52, 4 Dy 3.52
Er: 0.5000 0.5000 0.6658  8 Er 3.51-3.52, 4 Dy 3.52
Er: 0.5000 0.0000 0.1679  2 Dy 3.51, 8 Er 3.52-3.53, 2 Sm 3.53
Er: 0.5000 0.0000 0.5000  8 Er 3.51-3.52, 4 Dy 3.52
Er: 0.5000 0.0000 0.8321  2 Dy 3.51, 8 Er 3.52-3.53, 2 Sm 3.53
Er: 0.0000 0.5000 0.1679  2 Dy 3.51, 8 Er 3.52-3.53, 2 Sm 3.53
Er: 0.0000 0.5000 0.5000  8 Er 3.51-3.52, 4 Dy 3.52
Er: 0.0000 0.5000 0.8321  2 Dy 3.51, 8 Er 3.52-3.53, 2 Sm 3.53

Computed properties:
Its energy relative to the lowest polymorph listed for this composition is 0 meV/atom. The crystal system is tetragonal. Its energy of formation from the pure elements is 0.023 eV/atom. The volume is 370.6 Å³ per cell. Its space group is P4/mmm (123).


Computed, not measured: crystalline Sm12Dy2Er5 at its relaxed geometry at the PBE level of DFT.

Cell lengths 11.6364, 10.6284, 6.1821 Å; angles 100.59, 90.00, 123.19 degrees
With the nearest neighbours (Å) after each atom.
Fractional positions:
Sm: 0.1207 0.2413 0.0000  4 Er 3.35-3.54, 4 Sm 3.41-3.71, 2 Dy 3.42
Sm: 0.0600 0.6053 0.8007  5 Sm 3.37-3.62, 3 Er 3.42-3.68, 1 Dy 3.47
Sm: 0.5453 0.6053 0.8007  5 Sm 3.37-3.62, 3 Er 3.42-3.68, 1 Dy 3.47
Sm: 0.1452 0.7929 0.3836  1 Dy 3.32, 6 Sm 3.37-3.71, 3 Er 3.42-3.58
Sm: 0.6477 0.7929 0.3836  1 Dy 3.32, 6 Sm 3.37-3.71, 3 Er 3.42-3.58
Sm: 0.4438 0.8875 0.7261  6 Sm 3.53-3.87, 2 Dy 3.61, 2 Er 3.69-3.79
Sm: 0.5562 0.1125 0.2739  6 Sm 3.53-3.87, 2 Dy 3.61, 2 Er 3.69-3.79
Sm: 0.8548 0.2071 0.6164  1 Dy 3.32, 6 Sm 3.37-3.71, 3 Er 3.42-3.58
Sm: 0.3523 0.2071 0.6164  1 Dy 3.32, 6 Sm 3.37-3.71, 3 Er 3.42-3.58
Sm: 0.9400 0.3947 0.1993  5 Sm 3.37-3.62, 3 Er 3.42-3.68, 1 Dy 3.47
Sm: 0.4547 0.3947 0.1993  5 Sm 3.37-3.62, 3 Er 3.42-3.68, 1 Dy 3.47
Sm: 0.8793 0.7587 0.0000  4 Er 3.35-3.54, 4 Sm 3.41-3.71, 2 Dy 3.42
Dy: 0.7710 0.0000 0.0000  8 Sm 3.32-3.61
Dy: 0.2290 0.0000 0.0000  8 Sm 3.32-3.61
Er: 0.2153 0.4306 0.5526  8 Sm 3.42-3.68, 3 Er 3.51-3.77
Er: 0.3225 0.6449 0.1396  9 Sm 3.42-3.80, 2 Er 3.51-3.71
Er: 0.0000 0.0000 0.5000  6 Sm 3.35-3.42
Er: 0.6775 0.3551 0.8604  9 Sm 3.42-3.80, 2 Er 3.51-3.71
Er: 0.7847 0.5694 0.4474  8 Sm 3.42-3.68, 3 Er 3.51-3.77

Computed properties:
Its energy relative to the lowest polymorph listed for this composition is 0 meV/atom. The crystal system is monoclinic. Its energy of formation from the pure elements is 0.104 eV/atom. The volume is 624.2 Å³ per cell. Its space group is C2/m (12).


Computed, not measured: crystalline Sm3DyEr7 at its relaxed geometry at the PBE level of DFT.

Cell lengths 5.4835, 10.0129, 8.8205 Å; angles 106.24, 128.44, 89.99 degrees
With the nearest neighbours (Å) after each atom.
Fractional positions:
Sm: 0.2839 0.0034 0.7843  1 Sm 3.01, 3 Er 3.33-3.36
Sm: 0.0000 0.5000 0.0000  2 Dy 3.45, 10 Er 3.50-3.79
Sm: 0.7161 0.9966 0.2157  1 Sm 3.01, 3 Er 3.33-3.36
Dy: 0.5000 0.5000 0.5000  2 Sm 3.45, 10 Er 3.48-3.79
Er: 0.9075 0.8296 0.9073  3 Er 3.19-3.28, 1 Dy 3.49, 4 Sm 3.51
Er: 0.8593 0.7105 0.3593  3 Er 3.26-3.54, 2 Sm 3.33-3.35
Er: 0.6815 0.3619 0.1816  5 Er 3.26-3.54, 2 Dy 3.48, 2 Sm 3.50
Er: 0.3185 0.6381 0.8184  5 Er 3.26-3.54, 2 Dy 3.48, 2 Sm 3.50
Er: 0.5000 0.0000 0.5000  4 Sm 3.36-3.37
Er: 0.1407 0.2895 0.6407  3 Er 3.26-3.54, 2 Sm 3.33-3.35
Er: 0.0925 0.1704 0.0927  3 Er 3.19-3.28, 1 Dy 3.49, 4 Sm 3.51

Computed properties:
Its energy relative to the lowest polymorph listed for this composition is 0 meV/atom. The crystal system is monoclinic. Its energy of formation from the pure elements is 0.154 eV/atom. The volume is 354.3 Å³ per cell. Its space group is P2/m (10).


Computed, not measured: crystalline Sm2Dy7Er at its relaxed geometry at the PBE level of DFT.

Cell lengths 6.1586, 9.3976, 9.4024 Å; angles 141.78, 109.07, 77.38 degrees
With the nearest neighbours (Å) after each atom.
Fractional positions:
Sm: 0.5008 0.8993 0.6000  10 Dy 3.54-3.57, 1 Er 3.55, 1 Sm 3.56
Sm: 0.4992 0.1007 0.4000  10 Dy 3.54-3.57, 1 Er 3.55, 1 Sm 3.56
Dy: 0.0000 0.5987 0.3994  8 Dy 3.54-3.56, 2 Er 3.54-3.56, 2 Sm 3.55-3.56
Dy: 0.0000 0.4013 0.6006  8 Dy 3.54-3.56, 2 Er 3.54-3.56, 2 Sm 3.55-3.56
Dy: 0.5002 0.7008 0.8000  3 Sm 3.54-3.56, 7 Dy 3.54-3.56, 2 Er 3.55
Dy: 0.4998 0.2992 0.2000  3 Sm 3.54-3.56, 7 Dy 3.54-3.56, 2 Er 3.55
Dy: 0.9987 0.7997 0.1991  8 Dy 3.55-3.56, 1 Er 3.55, 3 Sm 3.55-3.57
Dy: 0.0013 0.2003 0.8009  8 Dy 3.55-3.56, 1 Er 3.55, 3 Sm 3.55-3.57
Dy: 0.5000 0.5000 0.0000  8 Dy 3.55-3.56, 4 Sm 3.55-3.56
Er: 0.0000 0.0000 0.0000  10 Dy 3.54-3.56, 2 Sm 3.55

Computed properties:
Its energy relative to the lowest polymorph listed for this composition is 0 meV/atom. The crystal system is triclinic. Its energy of formation from the pure elements is 0.019 eV/atom. The volume is 317.5 Å³ per cell. Its space group is P-1 (2).